# LiI2N

A geometry-optimized LiI2N structure (PBE, Alexandria via LeMat-Bulk).

Magnetic moment, μB per atom: 0.000
Distance to the lowest polymorph of the same formula, meV/atom: 0
D(E_F), states/eV per cell: 9.8

```
data_LiI2N
_chemical_formula_sum 'Li4 I8 N4'
_cell_length_a 6.064
_cell_length_b 6.064
_cell_length_c 12.849
_cell_angle_alpha 90.00
_cell_angle_beta 90.00
_cell_angle_gamma 90.00
_symmetry_space_group_name_H-M 'I -4 2 d'
_symmetry_Int_Tables_number 122
_symmetry_space_group_name_Hall 'I -4 2bw'
loop_
_atom_site_label
_atom_site_type_symbol
_atom_site_fract_x
_atom_site_fract_y
_atom_site_fract_z
_atom_site_occupancy
Li1 Li 0.000 0.000 0.000 1
I1 I 0.137 0.250 0.625 1
N1 N 0.000 0.000 0.500 1
```